(1)
TaV5Cr6 | Alexandria | PBE | relaxed; density of states at the Fermi level = 12.03 states/eV per cell; calculated formation energy = -56.8 meV per atom
1.0
4.167 0.000 0.000
0.000 5.910 0.000
-2.076 0.000 6.250
Ta V Cr
1 5 6
direct
0.000 0.000 0.000 Ta
0.000 0.500 0.000 V
0.331 0.000 0.661 V
0.333 0.500 0.665 V
0.667 0.500 0.335 V
0.669 0.000 0.339 V
0.170 0.254 0.340 Cr
0.170 0.746 0.340 Cr
0.500 0.258 0.000 Cr
0.500 0.742 0.000 Cr
0.830 0.254 0.660 Cr
0.830 0.746 0.660 Cr

(2)
Tm12Co6Pd | Alexandria | PBE | relaxed; density of states at the Fermi level = 9.60 states/eV per cell; calculated formation energy = -292.9 meV per atom
1.0
-4.711 4.711 4.711
4.711 -4.711 4.711
4.711 4.711 -4.711
Tm Co Pd
12 6 1
direct
0.105 0.299 0.806 Tm
0.194 0.493 0.299 Tm
0.194 0.895 0.701 Tm
0.299 0.194 0.493 Tm
0.299 0.806 0.105 Tm
0.493 0.299 0.194 Tm
0.507 0.701 0.806 Tm
0.701 0.194 0.895 Tm
0.701 0.806 0.507 Tm
0.806 0.105 0.299 Tm
0.806 0.507 0.701 Tm
0.895 0.701 0.194 Tm
0.115 0.500 0.615 Co
0.385 0.885 0.500 Co
0.500 0.385 0.885 Co
0.500 0.615 0.115 Co
0.615 0.115 0.500 Co
0.885 0.500 0.385 Co
0.000 0.000 0.000 Pd

(3)
AcCe2PuN4 | Alexandria | PBE | relaxed; density of states at the Fermi level = 11.01 states/eV per cell; formation energy without anion corrections = -1.27 eV per atom
1.0
6.305 0.000 0.000
0.000 3.629 0.000
-2.130 0.000 5.943
Ac Ce Pu N
1 2 1 4
direct
0.000 0.000 0.000 Ac
0.500 0.000 0.500 Ce
0.500 0.500 0.000 Ce
0.000 0.500 0.500 Pu
0.253 0.000 0.732 N
0.276 0.500 0.272 N
0.724 0.500 0.728 N
0.747 0.000 0.268 N

(4)
Ba3NaB | Alexandria | PBE | relaxed; density of states at the Fermi level = 8.89 states/eV per cell; calculated formation energy = 351.6 meV per atom
1.0
6.148 0.000 0.000
0.000 6.148 0.000
0.000 0.000 6.148
Ba Na B
3 1 1
direct
0.000 0.000 0.500 Ba
0.000 0.500 0.000 Ba
0.500 0.000 0.000 Ba
0.500 0.500 0.500 Na
0.000 0.000 0.000 B

(5)
Mn2AsCl | Alexandria | PBE | relaxed; density of states at the Fermi level = 2.43 states/eV per cell; formation energy without anion corrections = -0.14 eV per atom
1.0
3.252 0.000 0.000
0.000 3.397 0.000
0.000 0.000 6.610
Mn As Cl
2 1 1
direct
0.000 0.000 0.197 Mn
0.000 0.000 0.803 Mn
0.500 0.500 0.000 As
0.500 0.000 0.500 Cl

(6)
MgCdPb | Alexandria | PBE | relaxed; density of states at the Fermi level = 1.39 states/eV per cell; calculated formation energy = -11.8 meV per atom
1.0
3.495 0.000 0.000
-1.748 3.027 0.000
0.000 0.000 7.350
Mg Cd Pb
1 1 1
direct
0.000 0.000 0.000 Mg
0.667 0.333 0.692 Cd
0.333 0.667 0.340 Pb

(7)
NbPSeCl2 | Alexandria | PBE | relaxed; density of states at the Fermi level = 7.18 states/eV per cell; formation energy without anion corrections = 0.94 eV per atom
1.0
4.832 0.000 0.000
0.000 4.832 0.000
0.000 0.000 5.061
Nb P Se Cl
1 1 1 2
direct
0.000 0.000 0.000 Nb
0.500 0.500 0.000 P
0.500 0.500 0.500 Se
0.000 0.500 0.500 Cl
0.500 0.000 0.500 Cl

(8)
Ac2PmIn | Alexandria | PBE | relaxed; density of states at the Fermi level = 9.93 states/eV per cell; calculated formation energy = -195.3 meV per atom
1.0
7.144 0.000 0.000
0.000 5.605 0.000
-1.809 0.000 7.317
Ac Pm In
4 2 2
direct
0.158 0.250 0.416 Ac
0.158 0.250 0.917 Ac
0.842 0.750 0.083 Ac
0.842 0.750 0.584 Ac
0.393 0.750 0.723 Pm
0.607 0.250 0.277 Pm
0.370 0.750 0.218 In
0.630 0.250 0.782 In